Record 1
Cs8RbHg2 | PBE-GGA | relaxed

Output
- raw total energy (eV for the cell shown) = -9.32
- ΔE to the lowest computed polymorph (meV per atom) = 0.0
- total moment (μB per atom) = 0.000
- DFT formation energy (eV/atom) = -0.08

abc: 7.979 11.322 11.322
angles: 111.81 96.65 96.65
Fractional positions:
1 Hg 0.000 0.316 0.684
2 Hg 0.000 0.684 0.316
3 Cs 0.917 0.666 0.939
4 Cs 0.083 0.334 0.061
5 Cs 0.083 0.061 0.334
6 Cs 0.500 0.260 0.740
7 Cs 0.917 0.939 0.666
8 Cs 0.718 0.396 0.396
9 Cs 0.500 0.740 0.260
10 Cs 0.282 0.604 0.604
11 Rb 0.500 0.000 0.000


Record 2
TiNbIrRh | PBE-GGA | relaxed

Output
- raw total energy (eV for the cell shown) = -36.10
- ΔE to the lowest computed polymorph (meV per atom) = 125.8
- total moment (μB per atom) = 0.000
- DFT formation energy (eV/atom) = -0.48

abc: 4.480 4.480 4.480
angles: 60.00 60.00 60.00
Fractional positions:
1 Ir 0.500 0.500 0.500
2 Ti 0.250 0.250 0.250
3 Nb 0.750 0.750 0.750
4 Rh 0.000 0.000 0.000